[1]
DFT (PBE) results for CsCrGaFe2 after structural relaxation.

Cell lengths 4.8975, 4.8975, 5.7407 Å; angles 90.00, 90.00, 90.00 degrees
With the nearest neighbours (Å) after each atom.
Space group P4/mmm (No. 123)
Symmetry-distinct sites (fractional):
Cs: 0.0000 0.0000 0.0000  4 Fe 2.45
Cr: 0.5000 0.5000 0.5000  4 Ga 3.46, 8 Fe 3.77
Ga: 0.0000 0.0000 0.5000  2 Cs 2.87
Fe: 0.0000 0.5000 0.0000  2 Cs 2.45

Size of the total moment   9.8 μB/f.u.
N(E_F)   1.49 states/eV per atom
Formation energy   2.4469 eV per atom

***

[2]
DFT (PBE) results for SmSn2Au after structural relaxation.

Cell lengths 4.6606, 4.6606, 4.4623 Å; angles 90.00, 90.00, 90.00 degrees
With the nearest neighbours (Å) after each atom.
Space group P4/mmm (No. 123)
Symmetry-distinct sites (fractional):
Sm: 0.0000 0.0000 0.0000  8 Sn 3.23, 4 Au 3.30
Sn: 0.0000 0.5000 0.5000  4 Sm 3.23, 4 Au 3.23, 4 Sn 3.30
Au: 0.5000 0.5000 0.0000  8 Sn 3.23, 4 Sm 3.30

Size of the total moment   0.0 μB/f.u.
N(E_F)   0.58 states/eV per atom
Formation energy   -0.5659 eV per atom

***

[3]
DFT (PBE) results for PaZnCo5Si2 after structural relaxation.

Cell lengths 3.8220, 3.8220, 8.3673 Å; angles 90.00, 90.00, 90.00 degrees
With the nearest neighbours (Å) after each atom.
Space group P4/mmm (No. 123)
Symmetry-distinct sites (fractional):
Pa: 0.0000 0.0000 0.0000  12 Co 2.69-2.70
Zn: 0.0000 0.0000 0.5000  8 Si 2.94, 8 Co 2.98
Co: 0.0000 0.5000 0.2268  2 Si 2.22
Co: 0.5000 0.5000 0.0000  8 Co 2.69, 4 Pa 2.70
Si: 0.5000 0.5000 0.3625  4 Co 2.22, 1 Si 2.30

Size of the total moment   0.4 μB/f.u.
Electronic total energy   -6.559 eV/atom
N(E_F)   0.79 states/eV per atom

***

Q: What is the N(E_F) in the second record?
A: 0.58 states/eV per atom

***

Q: Number 3 is which compound?
A: PaZnCo5Si2

***

Q: Among the records above, which one has the lowest size of the total moment?
A: SmSn2Au